Density functional theory data (GGA-PBE) for an optimized crystal structure of LaHo2C.

The space-group type is No. 166. As for the formation energy: -0.132 eV/atom. The relative energy among the computed polymorphs is 67 meV/atom.

Cell: 10.1690 10.1690 10.1690 Å, 19.90 19.90 19.90°
Sites, in units of the cell vectors:
La  0.0000  0.0000  0.0000
Ho  0.1216  0.1216  0.1216
Ho  0.8784  0.8784  0.8784
C  0.5000  0.5000  0.5000

=====

Density functional theory data (GGA-PBE) for an optimized crystal structure of SrSeN3.

The formation energy from raw total energies is 2.384 eV per atom. The space-group type is No. 221.

Cell: 4.8562 4.8562 4.8562 Å, 90.00 90.00 90.00°
Sites, in units of the cell vectors:
Sr  0.0000  0.0000  0.0000
Se  0.5000  0.5000  0.5000
N  0.0000  0.0000  0.5000
N  0.0000  0.5000  0.0000
N  0.5000  0.0000  0.0000

=====

Density functional theory data (GGA-PBE) for an optimized crystal structure of YTlCr2.

The space-group type is No. 25. As for the formation energy: 0.232 eV/atom. The relative energy among the computed polymorphs is 0 meV/atom.

Cell: 3.1945 3.2171 7.6746 Å, 90.00 90.00 90.00°
Sites, in units of the cell vectors:
Y  0.0000  0.0000  0.0000
Tl  0.5000  0.5000  0.6753
Cr  0.0000  0.0000  0.4127
Cr  0.5000  0.5000  0.2813

=====

Density functional theory data (GGA-PBE) for an optimized crystal structure of LaIn2Br.

The formation energy from raw total energies is -0.586 eV per atom. The space-group type is No. 8. The relative energy among the computed polymorphs is 77 meV/atom.

Cell: 5.5204 5.5204 6.2194 Å, 101.49 101.49 39.94°
Sites, in units of the cell vectors:
La  0.0000  0.0000  0.0000
In  0.2480  0.2480  0.6592
In  0.5097  0.5097  0.4943
Br  0.7352  0.7352  0.1471

=====

Density functional theory data (GGA-PBE) for an optimized crystal structure of K2LaCl.

The formation energy from raw total energies is -0.546 eV per atom. The space-group type is No. 71. The relative energy among the computed polymorphs is 149 meV/atom.

Cell: 11.7712 11.7712 11.7712 Å, 160.48 159.55 28.42°
Sites, in units of the cell vectors:
K  0.1666  0.1666  0.0000
K  0.8334  0.8334  0.0000
La  0.5000  0.0000  0.5000
Cl  0.0000  0.5000  0.5000

=====

Density functional theory data (GGA-PBE) for an optimized crystal structure of Lu2PaSn.

The space-group type is No. 123. As for the formation energy: -0.149 eV/atom. The relative energy among the computed polymorphs is 40 meV/atom.

Cell: 3.7073 3.7073 7.5647 Å, 90.00 90.00 90.00°
Sites, in units of the cell vectors:
Lu  0.0000  0.0000  0.2333
Lu  0.0000  0.0000  0.7667
Pa  0.5000  0.5000  0.5000
Sn  0.5000  0.5000  0.0000

=====

no.,N(E_F) (states/eV per cell),ρ (g/cm³)
1,5.00,7.5
2,6.86,3.0
3,2.59,8.4
4,3.54,6.3
5,4.94,2.2
6,4.15,11.2